No. 1
# La2IrPt GGA-PBE optimized geometry
# **Size of the total moment**: 0.00 μB per formula unit
# **Electronic total energy**: -0.25936 hartree per atom
data_La2IrPt
_cell_length_a 4.220
_cell_length_b 4.220
_cell_length_c 5.941
_cell_angle_alpha 90.00
_cell_angle_beta 90.00
_cell_angle_gamma 90.00
_symmetry_space_group_name_H-M 'P 1'
_symmetry_Int_Tables_number 1
_symmetry_space_group_name_Hall 'P 1'
loop_
_atom_site_label
_atom_site_type_symbol
_atom_site_fract_x
_atom_site_fract_y
_atom_site_fract_z
_atom_site_occupancy
La1 La 0.000 0.000 0.000 1
La2 La 0.500 0.500 0.500 1
Ir1 Ir 0.000 0.000 0.500 1
Pt1 Pt 0.500 0.500 0.000 1

No. 2
# LaIrPt2 GGA-PBE optimized geometry
# **Size of the total moment**: 0.00 μB per formula unit
# **Electronic total energy**: -0.25859 hartree per atom
# **Energy above the lowest structure with this stoichiometry**: 115 meV/atom
data_LaIrPt2
_cell_length_a 4.207
_cell_length_b 4.207
_cell_length_c 4.203
_cell_angle_alpha 90.00
_cell_angle_beta 90.00
_cell_angle_gamma 90.00
_symmetry_space_group_name_H-M 'P 1'
_symmetry_Int_Tables_number 1
_symmetry_space_group_name_Hall 'P 1'
loop_
_atom_site_label
_atom_site_type_symbol
_atom_site_fract_x
_atom_site_fract_y
_atom_site_fract_z
_atom_site_occupancy
La1 La 0.000 0.000 0.000 1
Ir1 Ir 0.500 0.500 0.000 1
Pt1 Pt 0.000 0.500 0.500 1
Pt2 Pt 0.500 0.000 0.500 1

No. 3
# LaIrPt2 GGA-PBE optimized geometry
# **Size of the total moment**: 0.00 μB per formula unit
# **Electronic total energy**: -0.24759 hartree per atom
# **Energy above the lowest structure with this stoichiometry**: 414 meV/atom
data_LaIrPt2
_cell_length_a 4.781
_cell_length_b 4.781
_cell_length_c 4.781
_cell_angle_alpha 60.00
_cell_angle_beta 60.00
_cell_angle_gamma 60.00
_symmetry_space_group_name_H-M 'P 1'
_symmetry_Int_Tables_number 1
_symmetry_space_group_name_Hall 'P 1'
loop_
_atom_site_label
_atom_site_type_symbol
_atom_site_fract_x
_atom_site_fract_y
_atom_site_fract_z
_atom_site_occupancy
La1 La 0.000 0.000 0.000 1
Ir1 Ir 0.500 0.500 0.500 1
Pt1 Pt 0.250 0.250 0.250 1
Pt2 Pt 0.750 0.750 0.750 1

No. 4
# LaIr2Pt GGA-PBE optimized geometry
# **Size of the total moment**: 0.00 μB per formula unit
# **Electronic total energy**: -0.27590 hartree per atom
# **Energy above the lowest structure with this stoichiometry**: 0 meV/atom
data_LaIr2Pt
_cell_length_a 4.184
_cell_length_b 4.184
_cell_length_c 4.166
_cell_angle_alpha 90.00
_cell_angle_beta 90.00
_cell_angle_gamma 90.00
_symmetry_space_group_name_H-M 'P 1'
_symmetry_Int_Tables_number 1
_symmetry_space_group_name_Hall 'P 1'
loop_
_atom_site_label
_atom_site_type_symbol
_atom_site_fract_x
_atom_site_fract_y
_atom_site_fract_z
_atom_site_occupancy
La1 La 0.000 0.000 0.000 1
Ir1 Ir 0.000 0.500 0.500 1
Ir2 Ir 0.500 0.000 0.500 1
Pt1 Pt 0.500 0.500 0.000 1

No. 5
# La8Ir2Pt GGA-PBE optimized geometry
# **Size of the total moment**: 0.00 μB per formula unit
# **Electronic total energy**: -0.22876 hartree per atom
data_La8Ir2Pt
_cell_length_a 7.727
_cell_length_b 7.727
_cell_length_c 6.647
_cell_angle_alpha 100.50
_cell_angle_beta 100.50
_cell_angle_gamma 112.73
_symmetry_space_group_name_H-M 'P 1'
_symmetry_Int_Tables_number 1
_symmetry_space_group_name_Hall 'P 1'
loop_
_atom_site_label
_atom_site_type_symbol
_atom_site_fract_x
_atom_site_fract_y
_atom_site_fract_z
_atom_site_occupancy
La1 La 0.000 0.000 0.000 1
La2 La 0.006 0.277 0.586 1
La3 La 0.163 0.571 0.212 1
La4 La 0.277 0.006 0.586 1
La5 La 0.440 0.713 0.838 1
La6 La 0.571 0.163 0.212 1
La7 La 0.710 0.710 0.407 1
La8 La 0.713 0.440 0.838 1
Ir1 Ir 0.039 0.670 0.699 1
Ir2 Ir 0.670 0.039 0.699 1
Pt1 Pt 0.347 0.347 0.992 1

No. 6
# LaIrPt3 GGA-PBE optimized geometry
# **Size of the total moment**: 0.89 μB per formula unit
# **Electronic total energy**: -0.17268 hartree per atom
# **Energy above the lowest structure with this stoichiometry**: 1588 meV/atom
data_LaIrPt3
_cell_length_a 5.074
_cell_length_b 5.074
_cell_length_c 5.074
_cell_angle_alpha 90.00
_cell_angle_beta 90.00
_cell_angle_gamma 90.00
_symmetry_space_group_name_H-M 'P 1'
_symmetry_Int_Tables_number 1
_symmetry_space_group_name_Hall 'P 1'
loop_
_atom_site_label
_atom_site_type_symbol
_atom_site_fract_x
_atom_site_fract_y
_atom_site_fract_z
_atom_site_occupancy
La1 La 0.000 0.000 0.000 1
Ir1 Ir 0.500 0.500 0.500 1
Pt1 Pt 0.000 0.000 0.500 1
Pt2 Pt 0.000 0.500 0.000 1
Pt3 Pt 0.500 0.000 0.000 1

No. 7
# LaIr2Pt GGA-PBE optimized geometry
# **Size of the total moment**: 0.71 μB per formula unit
# **Electronic total energy**: -0.26311 hartree per atom
# **Energy above the lowest structure with this stoichiometry**: 348 meV/atom
data_LaIr2Pt
_cell_length_a 4.743
_cell_length_b 4.743
_cell_length_c 4.743
_cell_angle_alpha 60.00
_cell_angle_beta 60.00
_cell_angle_gamma 60.00
_symmetry_space_group_name_H-M 'P 1'
_symmetry_Int_Tables_number 1
_symmetry_space_group_name_Hall 'P 1'
loop_
_atom_site_label
_atom_site_type_symbol
_atom_site_fract_x
_atom_site_fract_y
_atom_site_fract_z
_atom_site_occupancy
La1 La 0.000 0.000 0.000 1
Ir1 Ir 0.500 0.500 0.500 1
Ir2 Ir 0.750 0.750 0.750 1
Pt1 Pt 0.250 0.250 0.250 1

No. 8
# La2IrPt GGA-PBE optimized geometry
# **Size of the total moment**: 0.00 μB per formula unit
# **Electronic total energy**: -0.25990 hartree per atom
data_La2IrPt
_cell_length_a 7.306
_cell_length_b 7.306
_cell_length_c 7.306
_cell_angle_alpha 33.57
_cell_angle_beta 33.57
_cell_angle_gamma 33.57
_symmetry_space_group_name_H-M 'P 1'
_symmetry_Int_Tables_number 1
_symmetry_space_group_name_Hall 'P 1'
loop_
_atom_site_label
_atom_site_type_symbol
_atom_site_fract_x
_atom_site_fract_y
_atom_site_fract_z
_atom_site_occupancy
La1 La 0.246 0.246 0.246 1
La2 La 0.754 0.754 0.754 1
Ir1 Ir 0.500 0.500 0.500 1
Pt1 Pt 0.000 0.000 0.000 1

Number 1: energy of formation -0.868 eV/atom. Number 2: energy of formation -0.569 eV/atom. Number 3: energy of formation -0.270 eV/atom. Number 4: energy of formation -0.335 eV/atom. Number 5: energy of formation -0.481 eV/atom. Number 6: energy of formation 1.683 eV/atom. Number 7: energy of formation 0.013 eV/atom. Number 8: energy of formation -0.883 eV/atom.